# Sm2VPbO6 | the Alexandria database | GGA+U | optimized geometry
# Total magnetic moment (μB/cell): 1.00
# Symmetry: P4mm (99)
# Total DFT energy (no corrections) (eV/cell): -73.718
data_Sm2VPbO6
_chemical_formula_sum 'Sm2 V1 Pb1 O6'
_cell_length_a 5.562
_cell_length_b 5.474
_cell_length_c 5.474
_cell_angle_alpha 90.00
_cell_angle_beta 90.00
_cell_angle_gamma 90.00
_symmetry_space_group_name_H-M 'P 1'
_symmetry_Int_Tables_number 1
loop_
_symmetry_equiv_pos_as_xyz
'x,y,z'
loop_
_atom_site_label
_atom_site_fract_x
_atom_site_fract_y
_atom_site_fract_z
O1 0.107 0.500 0.500
O2 0.747 0.229 0.771
O3 0.286 0.000 0.000
O4 0.747 0.771 0.229
O5 0.747 0.771 0.771
O6 0.747 0.229 0.229
Pb1 0.526 0.500 0.500
Sm1 0.968 0.500 0.000
Sm2 0.968 0.000 0.500
V1 0.604 0.000 0.000